{"formula": "La2Ho3PuAs6", "functional": "PBE", "state": "relaxed", "cell": [[-2.894, -3.049, 0.142], [4.482, -3.981, 5.881], [-4.044, 6.963, 4.819]], "species": ["La", "La", "Ho", "Ho", "Ho", "Pu", "As", "As", "As", "As", "As", "As"], "fractional_positions": [[0.834, 0.667, 0.668], [0.166, 0.333, 0.332], [0.500, 0.500, 0.000], [0.832, 0.166, 0.665], [0.168, 0.834, 0.335], [0.500, 0.000, 0.000], [0.334, 0.927, 0.667], [0.663, 0.592, 0.327], [0.666, 0.073, 0.333], [0.996, 0.247, 0.992], [0.004, 0.753, 0.008], [0.337, 0.408, 0.673]], "dos_ef_per_ev_fu": 15.86, "vol_a3_per_atom": 26.2, "e_form_ev_per_atom": -1.4347}